This record from Alexandria describes a relaxed structure of CoRuOF2. The functional is PBE with a Hubbard U.

Results
- ΔE to the lowest computed polymorph: 0.0000 eV per atom
- VASP energy: -5.17 eV/atom
- DOS(E_F): 0.816 states/eV per atom

The structure in POSCAR format:
```
CoRuOF2
1.0
4.299 0.000 0.000
0.000 4.299 0.000
0.000 0.000 3.717
Ru Co O F
1 1 1 2
Cartesian
0.000 0.000 0.000
2.149 2.149 1.859
0.000 0.000 1.859
0.000 2.149 0.000
2.149 0.000 0.000
```